Entry 1:
DFT (GGA-PBE) results for an optimized crystal structure of CaY2PuSe4.

The structure in POSCAR format:
```
CaY2PuSe4
1.0
7.160 0.000 0.000
0.000 4.114 0.000
-2.374 0.000 6.762
Ca Y Pu Se
1 2 1 4
Direct
0.000 0.000 0.000
0.000 0.500 0.500
0.500 0.000 0.500
0.500 0.500 0.000
0.248 0.000 0.746
0.250 0.500 0.255
0.750 0.500 0.745
0.752 0.000 0.254
```

## Properties
energy relative to the elements, uncorrected = -1.7736 eV/atom

***

Entry 2:
DFT (GGA-PBE) results for an optimized crystal structure of Ca2YPuSe4.

The structure in POSCAR format:
```
Ca2YPuSe4
1.0
7.184 0.000 0.000
0.000 4.147 0.000
-2.398 0.000 6.853
Ca Y Pu Se
2 1 1 4
Direct
0.000 0.000 0.000
0.500 0.500 0.000
0.000 0.500 0.500
0.500 0.000 0.500
0.245 0.000 0.747
0.247 0.500 0.251
0.753 0.500 0.749
0.755 0.000 0.253
```

## Properties
energy relative to the elements, uncorrected = -1.8087 eV/atom

***

Entry 3:
DFT (GGA-PBE) results for an optimized crystal structure of CaPuSi3.

The structure in POSCAR format:
```
CaPuSi3
1.0
2.088 -12.460 0.000
2.088 12.460 0.000
0.000 0.000 3.963
Ca Pu Si
2 2 6
Direct
0.203 0.797 0.750
0.797 0.203 0.250
0.070 0.930 0.250
0.930 0.070 0.750
0.331 0.669 0.750
0.384 0.616 0.250
0.477 0.523 0.250
0.523 0.477 0.750
0.616 0.384 0.750
0.669 0.331 0.250
```

## Properties
energy relative to the elements, uncorrected = -0.4588 eV/atom

***

Entry 4:
DFT (GGA-PBE) results for an optimized crystal structure of Ca2PuSi6.

The structure in POSCAR format:
```
Ca2PuSi6
1.0
7.020 0.000 0.000
-3.510 6.080 0.000
0.000 0.000 4.140
Ca Pu Si
2 1 6
Direct
0.333 0.667 0.000
0.667 0.333 0.000
0.000 0.000 0.000
0.000 0.331 0.500
0.000 0.669 0.500
0.331 0.000 0.500
0.331 0.331 0.500
0.669 0.000 0.500
0.669 0.669 0.500
```

## Properties
energy relative to the elements, uncorrected = -0.3641 eV/atom

***

Entry 5:
DFT (GGA-PBE) results for an optimized crystal structure of CaPuTlSi.

The structure in POSCAR format:
```
CaPuTlSi
1.0
0.000 3.707 3.707
3.707 0.000 3.707
3.707 3.707 0.000
Ca Pu Tl Si
1 1 1 1
Direct
0.000 0.000 0.000
0.500 0.500 0.500
0.250 0.250 0.250
0.750 0.750 0.750
```

## Properties
energy relative to the elements, uncorrected = -0.1436 eV/atom

***

Entry 6:
DFT (GGA-PBE) results for an optimized crystal structure of CaPuZnSi.

The structure in POSCAR format:
```
CaPuZnSi
1.0
0.000 3.571 3.571
3.571 0.000 3.571
3.571 3.571 0.000
Ca Pu Zn Si
1 1 1 1
Direct
0.000 0.000 0.000
0.500 0.500 0.500
0.750 0.750 0.750
0.250 0.250 0.250
```

## Properties
energy relative to the elements, uncorrected = -0.2321 eV/atom

***

Entry 7:
DFT (GGA-PBE) results for an optimized crystal structure of CaSmPu.

The structure in POSCAR format:
```
CaSmPu
1.0
5.668 -2.632 0.000
5.668 2.632 0.000
-2.072 0.000 6.737
Ca Sm Pu
2 2 2
Direct
0.165 0.165 0.082
0.835 0.835 0.918
0.160 0.160 0.575
0.840 0.840 0.425
0.494 0.494 0.736
0.506 0.506 0.264
```

## Properties
electronic total energy = -6.75 eV per atom

***

Entry 8:
DFT (GGA-PBE) results for an optimized crystal structure of CaSmPu4.

The structure in POSCAR format:
```
CaSmPu4
1.0
0.000 4.492 4.492
4.492 0.000 4.492
4.492 4.492 0.000
Ca Sm Pu
1 1 4
Direct
0.000 0.000 0.000
0.250 0.250 0.250
0.127 0.624 0.624
0.624 0.127 0.624
0.624 0.624 0.127
0.624 0.624 0.624
```

## Properties
electronic total energy = -10.37 eV per atom

***

Entry 9:
DFT (GGA-PBE) results for an optimized crystal structure of CaSm2Pu.

The structure in POSCAR format:
```
CaSm2Pu
1.0
1.810 1.045 11.884
-1.810 1.045 11.884
0.000 -2.090 11.884
Ca Sm Pu
1 2 1
Direct
0.000 0.000 0.000
0.577 0.577 0.577
0.756 0.756 0.756
0.166 0.166 0.166
```

## Properties
electronic total energy = -6.29 eV per atom

***

Entry 10:
DFT (GGA-PBE) results for an optimized crystal structure of CaSm2Pu.

The structure in POSCAR format:
```
CaSm2Pu
1.0
3.585 0.000 0.000
0.000 3.585 0.000
0.000 0.000 10.415
Ca Sm Pu
1 2 1
Direct
0.000 0.000 0.000
0.500 0.500 0.273
0.500 0.500 0.727
0.000 0.000 0.500
```

## Properties
electronic total energy = -6.31 eV per atom

***

Entry 11:
DFT (GGA-PBE) results for an optimized crystal structure of CaSm2Pu.

The structure in POSCAR format:
```
CaSm2Pu
1.0
1.761 1.017 12.753
-1.761 1.017 12.753
0.000 -2.033 12.753
Ca Sm Pu
1 2 1
Direct
0.000 0.000 0.000
0.415 0.415 0.415
0.585 0.585 0.585
0.500 0.500 0.500
```

## Properties
electronic total energy = -6.09 eV per atom

***

Entry 12:
DFT (GGA-PBE) results for an optimized crystal structure of CaSm2Pu.

The structure in POSCAR format:
```
CaSm2Pu
1.0
5.893 0.000 0.000
0.000 5.893 0.000
0.000 0.000 3.829
Ca Sm Pu
1 2 1
Direct
0.000 0.000 0.000
0.000 0.500 0.500
0.500 0.000 0.500
0.500 0.500 0.000
```

## Properties
electronic total energy = -6.22 eV per atom

***

Entry 13:
DFT (GGA-PBE) results for an optimized crystal structure of CaSmPu.

The structure in POSCAR format:
```
CaSmPu
1.0
-1.774 1.774 7.952
1.774 -1.774 7.952
1.774 1.774 -7.952
Ca Sm Pu
1 1 1
Direct
0.000 0.000 0.000
0.320 0.320 0.000
0.669 0.669 0.000
```

## Properties
electronic total energy = -6.81 eV per atom

***

Entry 14:
DFT (GGA-PBE) results for an optimized crystal structure of Ca3Sm3PuTe8.

The structure in POSCAR format:
```
Ca3Sm3PuTe8
1.0
4.443 2.565 7.375
-4.443 2.565 7.375
0.000 -5.131 7.375
Ca Sm Pu Te
3 3 1 8
Direct
0.000 0.500 0.500
0.500 0.000 0.500
0.500 0.500 0.000
0.000 0.000 0.500
0.000 0.500 0.000
0.500 0.000 0.000
0.500 0.500 0.500
0.245 0.752 0.752
0.248 0.248 0.755
0.248 0.755 0.248
0.250 0.250 0.250
0.750 0.750 0.750
0.752 0.245 0.752
0.752 0.752 0.245
0.755 0.248 0.248
```

## Properties
energy relative to the elements, uncorrected = -1.4415 eV/atom

***

Entry 15:
DFT (GGA-PBE) results for an optimized crystal structure of Ca3SmPu2Te6.

The structure in POSCAR format:
```
Ca3SmPu2Te6
1.0
3.867 -6.695 0.000
3.867 6.695 0.000
-2.578 0.000 7.387
Ca Sm Pu Te
3 1 2 6
Direct
0.000 0.000 0.000
0.334 0.666 0.000
0.666 0.334 0.000
0.500 0.500 0.500
0.167 0.833 0.500
0.833 0.167 0.500
0.084 0.416 0.250
0.250 0.250 0.750
0.416 0.084 0.250
0.584 0.916 0.750
0.750 0.750 0.250
0.916 0.584 0.750
```

## Properties
energy relative to the elements, uncorrected = -1.3837 eV/atom

***

Entry 16:
DFT (GGA-PBE) results for an optimized crystal structure of CaPuSn.

The structure in POSCAR format:
```
CaPuSn
1.0
5.422 0.000 0.000
-2.711 4.695 0.000
0.000 0.000 3.192
Ca Pu Sn
1 1 1
Direct
0.000 0.000 0.000
0.667 0.333 0.003
0.333 0.667 0.502
```

## Properties
electronic total energy = -6.86 eV per atom

***

Entry 17:
DFT (GGA-PBE) results for an optimized crystal structure of CaPuSn.

The structure in POSCAR format:
```
CaPuSn
1.0
-1.746 1.746 7.342
1.746 -1.746 7.342
1.746 1.746 -7.342
Ca Pu Sn
1 1 1
Direct
0.000 0.000 0.000
0.297 0.297 0.000
0.652 0.652 0.000
```

## Properties
electronic total energy = -6.98 eV per atom

***

Entry 18:
DFT (GGA-PBE) results for an optimized crystal structure of CaPuSn6.

The structure in POSCAR format:
```
CaPuSn6
1.0
4.717 0.000 0.000
0.000 4.717 0.000
0.000 0.000 9.399
Ca Pu Sn
1 1 6
Direct
0.000 0.000 0.000
0.000 0.000 0.500
0.000 0.500 0.253
0.000 0.500 0.747
0.500 0.000 0.253
0.500 0.000 0.747
0.500 0.500 0.000
0.500 0.500 0.500
```

## Properties
electronic total energy = -5.41 eV per atom

***

Entry 19:
DFT (GGA-PBE) results for an optimized crystal structure of CaPuTlSn.

The structure in POSCAR format:
```
CaPuTlSn
1.0
0.000 3.850 3.850
3.850 0.000 3.850
3.850 3.850 0.000
Ca Pu Tl Sn
1 1 1 1
Direct
0.000 0.000 0.000
0.500 0.500 0.500
0.250 0.250 0.250
0.750 0.750 0.750
```

## Properties
electronic total energy = -5.98 eV per atom

***

Entry 20:
DFT (GGA-PBE) results for an optimized crystal structure of CaPuZnSn.

The structure in POSCAR format:
```
CaPuZnSn
1.0
0.000 3.745 3.745
3.745 0.000 3.745
3.745 3.745 0.000
Ca Pu Zn Sn
1 1 1 1
Direct
0.000 0.000 0.000
0.500 0.500 0.500
0.750 0.750 0.750
0.250 0.250 0.250
```

## Properties
electronic total energy = -5.71 eV per atom

***

Entry 21:
DFT (GGA-PBE) results for an optimized crystal structure of Sr2CaPu.

The structure in POSCAR format:
```
Sr2CaPu
1.0
1.910 1.103 13.820
-1.910 1.103 13.820
0.000 -2.206 13.820
Sr Ca Pu
2 1 1
Direct
0.086 0.086 0.086
0.914 0.914 0.914
0.500 0.500 0.500
0.000 0.000 0.000
```

## Properties
electronic total energy = -4.52 eV per atom

***

Entry 22:
DFT (GGA-PBE) results for an optimized crystal structure of SrCa2PuTe4.

The structure in POSCAR format:
```
SrCa2PuTe4
1.0
7.911 0.000 0.000
0.000 4.560 0.000
-2.655 0.000 7.475
Sr Ca Pu Te
1 2 1 4
Direct
0.000 0.000 0.000
0.500 0.000 0.500
0.500 0.500 0.000
0.000 0.500 0.500
0.253 0.000 0.745
0.259 0.500 0.259
0.741 0.500 0.741
0.747 0.000 0.255
```

## Properties
energy relative to the elements, uncorrected = -1.4850 eV/atom

***

Entry 23:
DFT (GGA-PBE) results for an optimized crystal structure of Sr2CaPuTe4.

The structure in POSCAR format:
```
Sr2CaPuTe4
1.0
8.009 0.000 0.000
0.000 4.611 0.000
-2.685 0.000 7.573
Sr Ca Pu Te
2 1 1 4
Direct
0.000 0.000 0.000
0.500 0.500 0.000
0.000 0.500 0.500
0.500 0.000 0.500
0.245 0.000 0.737
0.255 0.500 0.264
0.745 0.500 0.736
0.755 0.000 0.263
```

## Properties
energy relative to the elements, uncorrected = -1.5111 eV/atom

***

Entry 24:
DFT (GGA-PBE) results for an optimized crystal structure of CaTbPu.

The structure in POSCAR format:
```
CaTbPu
1.0
8.471 -1.784 0.000
8.471 1.784 0.000
-1.651 0.000 6.130
Ca Tb Pu
2 2 2
Direct
0.057 0.057 0.286
0.943 0.943 0.714
0.342 0.342 0.153
0.658 0.658 0.847
0.269 0.269 0.613
0.731 0.731 0.387
```

## Properties
electronic total energy = -6.69 eV per atom

***

Entry 25:
DFT (GGA-PBE) results for an optimized crystal structure of CaTbPu.

The structure in POSCAR format:
```
CaTbPu
1.0
-1.759 1.759 7.921
1.759 -1.759 7.921
1.759 1.759 -7.921
Ca Tb Pu
1 1 1
Direct
0.000 0.000 0.000
0.321 0.321 0.000
0.671 0.671 0.000
```

## Properties
electronic total energy = -6.78 eV per atom

***

Entry 26:
DFT (GGA-PBE) results for an optimized crystal structure of CaTbPu2Te4.

The structure in POSCAR format:
```
CaTbPu2Te4
1.0
7.694 0.000 0.000
0.000 4.426 0.000
-2.547 0.000 7.260
Ca Tb Pu Te
1 1 2 4
Direct
0.000 0.000 0.000
0.000 0.500 0.500
0.500 0.000 0.500
0.500 0.500 0.000
0.247 0.000 0.747
0.248 0.500 0.251
0.752 0.500 0.749
0.753 0.000 0.253
```

## Properties
energy relative to the elements, uncorrected = -1.2746 eV/atom

***

Entry 27:
DFT (GGA-PBE) results for an optimized crystal structure of Ca2TbPuTe4.

The structure in POSCAR format:
```
Ca2TbPuTe4
1.0
7.688 0.000 0.000
0.000 4.436 0.000
-2.561 0.000 7.350
Ca Tb Pu Te
2 1 1 4
Direct
0.000 0.000 0.000
0.500 0.500 0.000
0.000 0.500 0.500
0.500 0.000 0.500
0.246 0.000 0.747
0.247 0.500 0.251
0.753 0.500 0.749
0.754 0.000 0.253
```

## Properties
energy relative to the elements, uncorrected = -1.3996 eV/atom